1.
The following is a PBE-GGA calculation of a relaxed Pm4Pr3Pu crystal, from Alexandria.

Summary:
Size of the total moment in μB/atom: 0.808
Formation enthalpy at 0 K in eV/atom: 0.1453

Cell: 3.529 11.846 13.169 Å, 90.00 90.00 90.00°
Space group Immm (No. 71)
Inequivalent atoms, fractional coordinates:
Pm 0.000 0.248 0.131 (multiplicity 8)
Pr 0.000 0.000 0.500 (multiplicity 2)
Pr 0.000 0.500 0.267 (multiplicity 4)
Pu 0.000 0.000 0.000 (multiplicity 2)

2.
The following is a PBE-GGA calculation of a relaxed PmPrPu crystal, from Alexandria.

Summary:
Size of the total moment in μB/atom: 2.066
Distance to the lowest polymorph of the same formula in kJ per mole of atoms: 0.0
Formation enthalpy at 0 K in eV/atom: 0.1343

Cell: 3.584 3.584 15.274 Å, 90.00 90.00 90.00°
Space group I4mm (No. 107)
Inequivalent atoms, fractional coordinates:
Pm 0.000 0.000 0.000 (multiplicity 2)
Pr 0.000 0.000 0.326 (multiplicity 2)
Pu 0.000 0.000 0.661 (multiplicity 2)

Looking at mass density for the records above, in order, we have 7.522; 8.970 g cm⁻³.